(1)
The following is a DFT calculation (PBE-GGA) of a geometry-optimized YMo2As structure.

- DFT formation energy (eV/atom) = 0.098
- M_tot (μB/cell) = 0.00

a = 3.3024 Å, b = 3.3024 Å, c = 24.9379 Å
α = 90.00°, β = 90.00°, γ = 120.00°
Space group R3m (No. 160, hexagonal axes)
Symmetry-distinct sites (fractional):
1 Y 0.0000 0.0000 0.0000 (multiplicity 3)
2 Mo 0.0000 0.0000 0.5001 (multiplicity 3)
3 Mo 0.0000 0.0000 0.7611 (multiplicity 3)
4 As 0.0000 0.0000 0.2384 (multiplicity 3)

---

(2)
The following is a DFT calculation (PBE-GGA) of a geometry-optimized YMoAs2 structure.

- energy above the most stable polymorph in this dataset (kJ/mol of formula units) = 45.6
- DFT formation energy (eV/atom) = -0.485
- M_tot (μB/cell) = 0.00

a = 4.810 Å, b = 3.594 Å, c = 9.742 Å
α = 90.00°, β = 90.00°, γ = 90.00°
Space group Amm2 (No. 38)
Symmetry-distinct sites (fractional):
1 Y 0.000 0.000 0.000 (multiplicity 2)
2 Mo 0.500 0.000 0.271 (multiplicity 2)
3 As 0.000 0.000 0.281 (multiplicity 2)
4 As 0.500 0.000 0.573 (multiplicity 2)

---

(3)
The following is a DFT calculation (PBE-GGA) of a geometry-optimized YMoAs2 structure.

- energy above the most stable polymorph in this dataset (kJ/mol of formula units) = 295.0
- DFT formation energy (eV/atom) = 0.161
- M_tot (μB/cell) = 3.24

a = 6.738 Å, b = 6.738 Å, c = 6.738 Å
α = 90.00°, β = 90.00°, γ = 90.00°
Space group F-43m (No. 216)
Symmetry-distinct sites (fractional):
1 Y 0.000 0.000 0.000 (multiplicity 4)
2 Mo 0.250 0.250 0.750 (multiplicity 4)
3 As 0.000 0.000 0.500 (multiplicity 4)
4 As 0.250 0.250 0.250 (multiplicity 4)

---

(4)
The following is a DFT calculation (PBE-GGA) of a geometry-optimized YMo2As structure.

- DFT formation energy (eV/atom) = 0.211
- M_tot (μB/cell) = 0.00

a = 4.054 Å, b = 4.054 Å, c = 19.768 Å
α = 90.00°, β = 90.00°, γ = 90.00°
Space group I-42d (No. 122)
Symmetry-distinct sites (fractional):
1 Y 0.000 0.000 0.000 (multiplicity 4)
2 Mo 0.179 0.250 0.625 (multiplicity 8)
3 As 0.000 0.000 0.500 (multiplicity 4)

---

| no. | density (g cm⁻³) |
| --- | --- |
| 1 | 7.52 |
| 2 | 6.60 |
| 3 | 7.27 |
| 4 | 7.27 |